(1)
Entry from Alexandria via LeMat-Bulk: an optimized crystal structure of RbVSnRu2 (PBE-GGA).

a = 4.634 Å, b = 4.634 Å, c = 5.481 Å
α = 90.00°, β = 90.00°, γ = 90.00°
Space group P4/mmm (No. 123)
One atom of each set of equivalent atoms:
Rb 0.000 0.000 0.000
V 0.500 0.500 0.500
Sn 0.000 0.000 0.500
Ru 0.000 0.500 0.000

magnetic moment = 1.04 μB/cell
formation energy from the elements = 2.92 eV per atom

---

(2)
Entry from Alexandria via LeMat-Bulk: an optimized crystal structure of RbSrRu2 (PBE-GGA).

a = 7.412 Å, b = 7.412 Å, c = 7.412 Å
α = 90.00°, β = 90.00°, γ = 90.00°
Space group Fm-3m (No. 225)
One atom of each set of equivalent atoms:
Rb 0.000 0.000 0.000
Sr 0.000 0.000 0.500
Ru 0.250 0.250 0.250

magnetic moment = 11.81 μB/cell
formation energy from the elements = 1.56 eV per atom

---

(3)
Entry from Alexandria via LeMat-Bulk: an optimized crystal structure of Rb3SrRu (PBE-GGA).

a = 6.464 Å, b = 6.464 Å, c = 6.464 Å
α = 90.00°, β = 90.00°, γ = 90.00°
Space group Pm-3m (No. 221)
One atom of each set of equivalent atoms:
Rb 0.000 0.000 0.500
Sr 0.500 0.500 0.500
Ru 0.000 0.000 0.000

magnetic moment = 0.00 μB/cell
polymorph energy (0 for the lowest one) = 0 meV/atom
formation energy from the elements = 1.05 eV per atom

---

(4)
Entry from Alexandria via LeMat-Bulk: an optimized crystal structure of Rb3SrRu (PBE-GGA).

a = 7.884 Å, b = 7.884 Å, c = 7.884 Å
α = 90.00°, β = 90.00°, γ = 90.00°
Space group Pm-3m (No. 221)
One atom of each set of equivalent atoms:
Rb 0.000 0.000 0.500
Sr 0.000 0.000 0.000
Ru 0.500 0.500 0.500

magnetic moment = 2.80 μB/cell
polymorph energy (0 for the lowest one) = 521 meV/atom
formation energy from the elements = 1.57 eV per atom

---

(5)
Entry from Alexandria via LeMat-Bulk: an optimized crystal structure of RbSr3Ru (PBE-GGA).

a = 5.990 Å, b = 5.990 Å, c = 5.990 Å
α = 90.00°, β = 90.00°, γ = 90.00°
Space group Pm-3m (No. 221)
One atom of each set of equivalent atoms:
Rb 0.000 0.000 0.000
Sr 0.000 0.000 0.500
Ru 0.500 0.500 0.500

magnetic moment = 0.55 μB/cell
polymorph energy (0 for the lowest one) = 1546 meV/atom
formation energy from the elements = 1.82 eV per atom

---

(6)
Entry from Alexandria via LeMat-Bulk: an optimized crystal structure of RbSrRu3 (PBE-GGA).

a = 5.234 Å, b = 5.234 Å, c = 5.234 Å
α = 90.00°, β = 90.00°, γ = 90.00°
Space group Pm-3m (No. 221)
One atom of each set of equivalent atoms:
Rb 0.000 0.000 0.000
Sr 0.500 0.500 0.500
Ru 0.000 0.500 0.500

magnetic moment = 4.92 μB/cell
polymorph energy (0 for the lowest one) = 0 meV/atom
formation energy from the elements = 2.34 eV per atom

---

(7)
Entry from Alexandria via LeMat-Bulk: an optimized crystal structure of RbSrRu2 (PBE-GGA).

a = 8.720 Å, b = 8.720 Å, c = 5.558 Å
α = 90.00°, β = 90.00°, γ = 90.00°
Space group I-42d (No. 122)
One atom of each set of equivalent atoms:
Rb 0.000 0.000 0.000
Sr 0.000 0.000 0.500
Ru 0.244 0.250 0.625

magnetic moment = 9.06 μB/cell
formation energy from the elements = 1.56 eV per atom

---

(8)
Entry from Alexandria via LeMat-Bulk: an optimized crystal structure of RbSrRu3 (PBE-GGA).

a = 4.998 Å, b = 4.998 Å, c = 4.998 Å
α = 90.00°, β = 90.00°, γ = 90.00°
Space group Pm-3m (No. 221)
One atom of each set of equivalent atoms:
Rb 0.000 0.000 0.000
Sr 0.500 0.500 0.500
Ru 0.000 0.000 0.500

magnetic moment = 4.68 μB/cell
polymorph energy (0 for the lowest one) = 38 meV/atom
formation energy from the elements = 2.38 eV per atom

---

Copy entry 7 word for word.
Entry from Alexandria via LeMat-Bulk: an optimized crystal structure of RbSrRu2 (PBE-GGA).

a = 8.720 Å, b = 8.720 Å, c = 5.558 Å
α = 90.00°, β = 90.00°, γ = 90.00°
Space group I-42d (No. 122)
One atom of each set of equivalent atoms:
Rb 0.000 0.000 0.000
Sr 0.000 0.000 0.500
Ru 0.244 0.250 0.625

magnetic moment = 9.06 μB/cell
formation energy from the elements = 1.56 eV per atom

---

What is the formula in the fourth record? Rb3SrRu

---

magnetic moment of number 7 (RbSrRu2)? 9.06 μB/cell